VASP calculation (PBE with a Hubbard U) on a relaxed structure of Li9Mn2Co5O16.

The energy relative to the lowest polymorph listed for this composition comes out at 91 kJ/mol of formula units. As for the space-group type: Pm, No. 6.

The structure in CIF format:
```
data_Li9Mn2Co5O16
_cell_length_a 2.874
_cell_length_b 10.141
_cell_length_c 10.243
_cell_angle_alpha 70.07
_cell_angle_beta 90.00
_cell_angle_gamma 90.00
_symmetry_space_group_name_H-M 'P 1'
_symmetry_Int_Tables_number 1
_symmetry_space_group_name_Hall 'P 1'
loop_
_atom_site_label
_atom_site_fract_x
_atom_site_fract_y
_atom_site_fract_z
O1 0.000 0.626 0.616
O2 0.500 0.621 0.397
O3 0.500 0.105 0.882
O4 0.500 0.391 0.118
O5 0.000 0.113 0.620
O6 0.500 0.388 0.619
O7 0.000 0.636 0.108
O8 0.500 0.879 0.104
O9 0.500 0.125 0.372
O10 0.000 0.116 0.102
O11 0.500 0.872 0.606
O12 0.000 0.380 0.899
O13 0.000 0.866 0.383
O14 0.000 0.394 0.387
O15 0.000 0.864 0.891
O16 0.500 0.621 0.898
Co1 0.000 0.503 0.007
Co2 0.500 0.747 0.000
Co3 0.500 0.751 0.501
Co4 0.500 0.253 0.004
Co5 0.000 0.014 0.493
Li1 0.000 0.237 0.729
Li2 0.500 0.494 0.256
Li3 0.500 0.999 0.735
Li4 0.000 0.747 0.254
Li5 0.500 0.500 0.758
Li6 0.000 0.748 0.747
Li7 0.500 0.005 0.256
Li8 0.500 0.250 0.496
Li9 0.000 0.266 0.266
Mn1 0.000 0.996 0.993
Mn2 0.000 0.494 0.505
```